! PBE-GGA Na4Ce3BeS8, relaxed; values from VASP
! Formation energy (no corrections) in eV per atom: -1.46
! Total magnetic moment in μB/cell: 2.0
! D(E_F) in states/eV/cell: 13.440
&SYSTEM
  ibrav = 0, nat = 16, ntyp = 4
/
ATOMIC_SPECIES
Na 22.99 Na.upf
Ce 140.12 Ce.upf
Be 9.01 Be.upf
S 32.06 S.upf
CELL_PARAMETERS angstrom
-4.1983 4.7374 -4.7252
-3.9044 -6.4107 -2.9582
-0.0141 1.3497 7.9682
ATOMIC_POSITIONS angstrom
Na -2.0991 2.3687 -2.3626
Na -2.1062 3.0436 1.6215
Na 0.0000 0.0000 0.0000
Na -0.0071 0.6749 3.9841
Ce -4.0514 -0.8367 -3.8417
Ce -4.0584 -0.1618 0.1424
Ce -1.9593 -2.5305 2.5050
Be -1.9522 -3.2053 -1.4791
S -3.6024 -2.1834 4.7847
S -4.0516 -2.8549 0.7375
S -2.1207 0.2282 2.1129
S -6.0016 0.5238 2.0845
S -2.1153 -0.8474 -1.7997
S -5.9961 -0.5517 -1.8281
S -4.0653 2.5313 -0.4527
S -4.5144 1.8598 -4.4999

---

! PBE-GGA BeCl2, relaxed; values from VASP
! Formation energy (no corrections) in eV per atom: -1.07
! Total magnetic moment in μB/cell: 0.0
! D(E_F) in states/eV/cell: 0.000
! Polymorph energy (0 for the lowest one) in eV/atom: 0.361
&SYSTEM
  ibrav = 0, nat = 3, ntyp = 2
/
ATOMIC_SPECIES
Be 9.01 Be.upf
Cl 35.45 Cl.upf
CELL_PARAMETERS angstrom
0.0000 4.6170 6.8874
1.5268 0.0000 6.8874
1.5268 4.6170 0.0000
ATOMIC_POSITIONS angstrom
Be 1.5268 4.6170 6.8874
Cl 1.5268 4.6170 1.4556
Cl 1.5268 4.6170 12.3192

---

! PBE-GGA MnZn2Au, relaxed; values from VASP
! ΔH_f (0 K) in meV/atom: 189
! Total magnetic moment in μB/cell: 7.1
! D(E_F) in states/eV/cell: 5.733
&SYSTEM
  ibrav = 0, nat = 8, ntyp = 3
/
ATOMIC_SPECIES
Zn 65.41 Zn.upf
Mn 54.94 Mn.upf
Au 196.97 Au.upf
CELL_PARAMETERS angstrom
-2.4234 -6.5470 1.3361
6.3612 -2.6955 -1.6706
2.7400 -4.3852 2.3881
ATOMIC_POSITIONS angstrom
Zn -0.0344 -5.5251 1.2232
Zn 4.3578 -3.5994 -0.2801
Zn 3.5317 -6.7549 1.6656
Zn 5.5005 -11.3761 1.4984
Mn 1.9689 -4.6213 -0.1672
Mn 5.5350 -5.8510 0.2751
Au 0.0000 0.0000 0.0000
Au 1.1428 -7.7767 1.7785

---

The total DFT energy (no corrections) results, record by record, are as follows: -5.1948; -3.5460; -3.5593 eV per atom.